# 1
Compound: ZnPtCl2
Source: the Alexandria database
Functional: PBE
Structure: optimized geometry

a b c (Å): 3.0629 3.0629 7.6154
angles (deg): 90.00 90.00 90.00
Last column: nearest neighbours and their distance in Å.
Fractional coordinates of all 4 atoms:
1 Zn 0.5000 0.5000 0.7500  8 Cl 2.68
2 Cl 0.0000 0.0000 0.5428  4 Zn 2.68
3 Cl 0.0000 0.0000 0.9572  4 Zn 2.68
4 Pt 0.5000 0.5000 0.2500  4 Pt 3.06, 8 Cl 3.11

Output
E_form (uncorrected) (eV per atom): 0.3088
Energy relative to the lowest polymorph listed for this composition (eV/f.u.): 2.87
M_tot (μB per cell): 0.00
Total energy (eV/atom): -2.443

---

# 2
Compound: Tm4Ga12Tc
Source: the Alexandria database
Functional: PBE
Structure: optimized geometry

a b c (Å): 7.4300 7.4300 7.4300
angles (deg): 109.47 109.47 109.47
Last column: nearest neighbours and their distance in Å.
Fractional coordinates of all 17 atoms:
1 Tm 0.5000 0.5000 0.5000  12 Ga 3.03-3.05
2 Tm 0.0000 0.5000 0.0000  12 Ga 3.03-3.05
3 Tm 0.0000 0.0000 0.5000  12 Ga 3.03-3.05
4 Tm 0.5000 0.0000 0.0000  12 Ga 3.03-3.05
5 Ga 0.5000 0.7500 0.2500  8 Ga 2.79-3.03, 4 Tm 3.03
6 Ga 0.2916 0.2916 0.0000  1 Tc 2.50, 4 Ga 2.79
7 Ga 0.2500 0.7500 0.5000  8 Ga 2.79-3.03, 4 Tm 3.03
8 Ga 0.7084 0.7084 0.0000  1 Tc 2.50, 4 Ga 2.79
9 Ga 0.7500 0.5000 0.2500  8 Ga 2.79-3.03, 4 Tm 3.03
10 Ga 0.0000 0.7084 0.7084  1 Tc 2.50, 4 Ga 2.79
11 Ga 0.2916 0.0000 0.2916  1 Tc 2.50, 4 Ga 2.79
12 Ga 0.7084 0.0000 0.7084  1 Tc 2.50, 4 Ga 2.79
13 Ga 0.2500 0.5000 0.7500  8 Ga 2.79-3.03, 4 Tm 3.03
14 Ga 0.7500 0.2500 0.5000  8 Ga 2.79-3.03, 4 Tm 3.03
15 Ga 0.0000 0.2916 0.2916  1 Tc 2.50, 4 Ga 2.79
16 Ga 0.5000 0.2500 0.7500  8 Ga 2.79-3.03, 4 Tm 3.03
17 Tc 0.0000 0.0000 0.0000  6 Ga 2.50

Output
DFT formation energy (kJ per mole of atoms): -49.2
M_tot (μB per cell): 0.00
Total energy (eV/atom): -4.309

---

# 3
Compound: Li5Ga2Hg
Source: the Alexandria database
Functional: PBE
Structure: optimized geometry

a b c (Å): 4.0361 4.0361 8.6218
angles (deg): 103.54 103.54 90.00
Last column: nearest neighbours and their distance in Å.
Fractional coordinates of all 8 atoms:
1 Ga 0.7492 0.7492 0.4985  8 Li 2.76-2.78, 4 Ga 2.85
2 Ga 0.2508 0.2508 0.5015  8 Li 2.76-2.78, 4 Ga 2.85
3 Li 0.1333 0.6333 0.2665  4 Ga 2.76-2.78, 6 Li 2.85-2.96, 2 Hg 2.96
4 Li 0.6333 0.1333 0.2665  4 Ga 2.76-2.78, 6 Li 2.85-2.96, 2 Hg 2.96
5 Li 0.3667 0.8667 0.7335  4 Ga 2.76-2.78, 6 Li 2.85-2.96, 2 Hg 2.96
6 Li 0.8667 0.3667 0.7335  4 Ga 2.76-2.78, 6 Li 2.85-2.96, 2 Hg 2.96
7 Li 0.5000 0.5000 0.0000  4 Hg 2.85, 8 Li 2.96
8 Hg 0.0000 0.0000 0.0000  12 Li 2.85-2.96

Output
DFT formation energy (kJ per mole of atoms): -27.2
M_tot (μB per cell): 0.00
Total energy (eV/atom): -2.273

---

# 4
Compound: KOs2Rh
Source: the Alexandria database
Functional: PBE
Structure: optimized geometry

a b c (Å): 5.9613 5.9613 5.9613
angles (deg): 153.91 127.96 59.12
Last column: nearest neighbours and their distance in Å.
Fractional coordinates of all 4 atoms:
1 Rh 0.5349 0.5349 0.0000  2 Os 2.64, 2 Rh 2.69
2 K 0.2514 0.7514 0.5000  2 K 2.69, 4 Os 2.94
3 Os 0.7536 0.2536 0.5000  4 Os 2.53-2.69, 2 Rh 2.64
4 Os 0.9601 0.9601 0.0000  4 Os 2.53-2.69

Output
DFT formation energy (kJ per mole of atoms): 107.4
Energy relative to the lowest polymorph listed for this composition (eV/f.u.): 1.82
M_tot (μB per cell): 0.00
Total energy (eV/atom): -6.614